This record from Alexandria via LeMat-Bulk describes Ca2SnPt after structural relaxation. The functional is PBE.

Geometry as POSCAR:
```
Ca2SnPt
1.0
4.244 0.000 0.000
0.000 4.744 0.000
0.000 0.000 4.744
Ca Sn Pt
2 1 1
Cartesian
0.000 0.000 2.372
0.000 2.372 0.000
2.122 2.372 2.372
2.122 0.000 0.000
```

Density (g/cm³): 6.85
Calculated volume (Å³/f.u.): 96
VASP energy (eV for the cell shown): -16.68
DFT formation energy (meV per atom): -657
Total moment (μB/f.u.): 0.0